{"formula": "Be2Ni2W", "functional": "PBE", "state": "relaxed", "formation_energy_ev_per_atom": 0.1444, "sg": "I4/mmm, No. 139", "volume_a3_per_atom": 10.78, "lattice": [[-1.832, 1.832, 4.016], [1.832, -1.832, 4.016], [1.832, 1.832, -4.016]], "species": ["Be", "Be", "Ni", "Ni", "W"], "fractional_positions": [[0.250, 0.750, 0.500], [0.750, 0.250, 0.500], [0.134, 0.134, 0.000], [0.866, 0.866, 0.000], [0.500, 0.500, 0.000]]}

=====

{"formula": "Ac2HPd6Au", "functional": "PBE", "state": "relaxed", "sg": "C2/m, No. 12", "final_energy_ev_per_atom": -5.244, "volume_a3_per_atom": 19.21, "lattice": [[5.078, -2.929, 0.000], [5.078, 2.929, 0.000], [-3.389, 0.000, 6.460]], "species": ["Ac", "Ac", "H", "Pd", "Pd", "Pd", "Pd", "Pd", "Pd", "Au"], "fractional_positions": [[0.228, 0.228, 0.185], [0.772, 0.772, 0.815], [0.000, 0.000, 0.500], [0.224, 0.224, 0.672], [0.225, 0.725, 0.673], [0.275, 0.775, 0.327], [0.725, 0.225, 0.673], [0.775, 0.275, 0.327], [0.776, 0.776, 0.328], [0.500, 0.500, 0.000]]}

=====

{"formula": "TbErTe2", "functional": "PBE", "state": "relaxed", "sg": "P4/mmm, No. 123", "raw_formation_energy_ev_per_atom": -1.26, "volume_a3_per_atom": 28.97, "lattice": [[4.347, 0.000, 0.000], [0.000, 4.347, 0.000], [0.000, 0.000, 6.132]], "species": ["Tb", "Er", "Te", "Te"], "fractional_positions": [[0.000, 0.000, 0.000], [0.500, 0.500, 0.500], [0.000, 0.000, 0.500], [0.500, 0.500, 0.000]]}

=====

{"formula": "SrBeW2", "functional": "PBE", "state": "relaxed", "formation_energy_ev_per_atom": 1.2977, "sg": "P4/mmm, No. 123", "volume_a3_per_atom": 18.82, "lattice": [[3.911, 0.000, 0.000], [0.000, 3.911, 0.000], [0.000, 0.000, 4.921]], "species": ["Sr", "Be", "W", "W"], "fractional_positions": [[0.000, 0.000, 0.000], [0.500, 0.500, 0.000], [0.000, 0.500, 0.500], [0.500, 0.000, 0.500]]}

=====

{"formula": "CaAgBr3", "functional": "PBE", "state": "relaxed", "sg": "Pnma, No. 62", "raw_formation_energy_ev_per_atom": -1.32, "volume_a3_per_atom": 33.27, "lattice": [[8.060, 0.000, 0.000], [0.000, 11.295, 0.000], [0.000, 0.000, 7.309]], "species": ["Ca", "Ca", "Ca", "Ca", "Ag", "Ag", "Ag", "Ag", "Br", "Br", "Br", "Br", "Br", "Br", "Br", "Br", "Br", "Br", "Br", "Br"], "fractional_positions": [[0.000, 0.000, 0.000], [0.000, 0.500, 0.000], [0.500, 0.000, 0.500], [0.500, 0.500, 0.500], [0.151, 0.250, 0.462], [0.349, 0.750, 0.962], [0.651, 0.250, 0.038], [0.849, 0.750, 0.538], [0.010, 0.250, 0.132], [0.186, 0.055, 0.671], [0.186, 0.445, 0.671], [0.314, 0.555, 0.171], [0.314, 0.945, 0.171], [0.490, 0.750, 0.632], [0.510, 0.250, 0.368], [0.686, 0.055, 0.829], [0.686, 0.445, 0.829], [0.814, 0.555, 0.329], [0.814, 0.945, 0.329], [0.990, 0.750, 0.868]]}

=====

{"formula": "ErTmScRh", "functional": "PBE", "state": "relaxed", "formation_energy_ev_per_atom": -0.2429, "sg": "F-43m, No. 216", "volume_a3_per_atom": 22.41, "lattice": [[0.000, 3.552, 3.552], [3.552, 0.000, 3.552], [3.552, 3.552, 0.000]], "species": ["Er", "Tm", "Sc", "Rh"], "fractional_positions": [[0.000, 0.000, 0.000], [0.500, 0.500, 0.500], [0.750, 0.750, 0.750], [0.250, 0.250, 0.250]]}